[1]
Computed, not measured: an optimized crystal structure of Pr2GePd at the PBE level of DFT.

a = 3.621 Å, b = 3.621 Å, c = 7.604 Å
α = 90.00°, β = 90.00°, γ = 90.00°
Space group P4/mmm (No. 123)
Asymmetric unit:
Pr 0.000 0.000 0.245 x2
Ge 0.500 0.500 0.500 x1
Pd 0.500 0.500 0.000 x1

Calculated values
For the total energy, the calculation gives -22.08 eV/cell.


[2]
Computed, not measured: an optimized crystal structure of Pm5ZnGa4 at the PBE level of DFT.

a = 3.661 Å, b = 3.661 Å, c = 18.435 Å
α = 90.00°, β = 90.00°, γ = 90.00°
Space group P4/mmm (No. 123)
Asymmetric unit:
Pm 0.000 0.000 0.000 x1
Pm 0.000 0.000 0.200 x2
Pm 0.000 0.000 0.401 x2
Zn 0.500 0.500 0.500 x1
Ga 0.500 0.500 0.100 x2
Ga 0.500 0.500 0.302 x2

Calculated values
For the total energy, the calculation gives -42.30 eV/cell.


[3]
Computed, not measured: an optimized crystal structure of BaBeRu2 at the PBE level of DFT.

a = 3.0191 Å, b = 3.0191 Å, c = 27.4154 Å
α = 90.00°, β = 90.00°, γ = 120.00°
Space group R3m (No. 160, hexagonal axes)
Asymmetric unit:
Ba 0.0000 0.0000 0.0000 x3
Be 0.0000 0.0000 0.2339 x3
Ru 0.0000 0.0000 0.5119 x3
Ru 0.0000 0.0000 0.7727 x3

Calculated values
For the total energy, the calculation gives -61.86 eV/cell.


[4]
Computed, not measured: an optimized crystal structure of Nd4Sm11Y9 at the PBE level of DFT.

a = 16.997 Å, b = 25.544 Å, c = 3.726 Å
α = 90.00°, β = 90.00°, γ = 90.00°
Space group Cmmm (No. 65)
Asymmetric unit:
Nd 0.154 0.101 0.000 x8
Sm 0.000 0.134 0.500 x4
Sm 0.000 0.341 0.500 x4
Sm 0.000 0.500 0.500 x2
Sm 0.209 0.000 0.500 x4
Sm 0.227 0.319 0.500 x8
Y 0.000 0.000 0.000 x2
Y 0.102 0.236 0.000 x8
Y 0.139 0.427 0.000 x8

Calculated values
For the total energy, the calculation gives -255.76 eV/cell.


[5]
Computed, not measured: an optimized crystal structure of KCo2As at the PBE level of DFT.

a = 6.078 Å, b = 9.422 Å, c = 2.680 Å
α = 90.00°, β = 115.58°, γ = 90.00°
Space group C2/m (No. 12)
Asymmetric unit:
K 0.000 0.000 0.000 x2
Co 0.250 0.250 0.000 x4
As 0.000 0.500 0.000 x2

Calculated values
For the total energy, the calculation gives -32.73 eV/cell.


[6]
Computed, not measured: an optimized crystal structure of PdRuC3 at the PBE level of DFT.

a = 3.936 Å, b = 3.936 Å, c = 3.936 Å
α = 90.00°, β = 90.00°, γ = 90.00°
Space group Pm-3m (No. 221)
Asymmetric unit:
Pd 0.000 0.000 0.000 x1
Ru 0.500 0.500 0.500 x1
C 0.000 0.000 0.500 x3

Calculated values
For the total energy, the calculation gives -27.71 eV/cell. For the distance to the lowest polymorph of the same formula, the calculation gives 855 meV per atom.


| no. | energy of formation from the pure elements (meV/atom) |
| --- | --- |
| 1 | -677 |
| 2 | -517 |
| 3 | 895 |
| 4 | 53 |
| 5 | 899 |
| 6 | 2886 |